Record 1
The following is a GGA-PBE calculation of Bi2AsAu after structural relaxation, from OQMD.

Calculated values
Calculated total energy: -3.711 eV per atom

Cell: 7.3631 7.3631 7.3631 Å, 90.00 90.00 90.00°
Closest atoms and distances in Å follow each position.
Space group F-43m (No. 216)
Symmetry-distinct sites (fractional):
Bi 0.0000 0.0000 0.0000 x4  4 As 3.19, 4 Bi 3.19
Bi 0.2500 0.2500 0.2500 x4  4 Bi 3.19, 4 Au 3.19
As 0.2500 0.2500 0.7500 x4  4 Bi 3.19, 4 Au 3.19
Au 0.0000 0.0000 0.5000 x4  4 As 3.19, 4 Bi 3.19



Record 2
The following is a GGA-PBE calculation of CuHgBMo after structural relaxation, from OQMD.

Calculated values
Calculated total energy: -3.951 eV per atom
Total moment: 8.5 μB per cell
Offset from the most stable computed form: 363 meV/atom

Cell: 6.2127 6.2127 6.2127 Å, 90.00 90.00 90.00°
Closest atoms and distances in Å follow each position.
Space group F-43m (No. 216)
Symmetry-distinct sites (fractional):
Cu 0.0000 0.0000 0.0000 x4  4 Mo 2.69, 4 B 2.69
Hg 0.0000 0.0000 0.5000 x4  4 Mo 2.69, 4 B 2.69
B 0.2500 0.2500 0.7500 x4  4 Hg 2.69, 4 Cu 2.69
Mo 0.2500 0.2500 0.2500 x4  4 Hg 2.69, 4 Cu 2.69



Record 3
The following is a GGA-PBE calculation of LaTlAu2 after structural relaxation, from OQMD.

Calculated values
Calculated total energy: -3.954 eV per atom
Total moment: 0.0 μB per cell
Offset from the most stable computed form: 116 meV/atom

Cell: 8.4120 6.9857 6.8408 Å, 90.00 90.00 90.00°
Closest atoms and distances in Å follow each position.
Space group Pnma (No. 62)
Symmetry-distinct sites (fractional):
La 0.0081 0.2500 0.2084 x4  8 Au 3.16-3.31, 2 Tl 3.46
Tl 0.0568 0.7500 0.2914 x4  6 Au 2.93-3.12
Au 0.2312 0.0267 0.5323 x8  3 Tl 2.93-3.12, 1 Au 3.12, 2 La 3.16-3.25



Record 4
The following is a GGA-PBE calculation of Hf2Pd after structural relaxation, from OQMD.

Calculated values
Calculated total energy: -8.453 eV per atom
Total moment: 0.1 μB per cell

Cell: 6.4223 6.4223 6.4223 Å, 90.00 90.00 90.00°
Closest atoms and distances in Å follow each position.
Space group Fm-3m (No. 225)
Symmetry-distinct sites (fractional):
Hf 0.2500 0.2500 0.2500 x8  4 Pd 2.78
Pd 0.0000 0.0000 0.0000 x4  8 Hf 2.78



Volume (Å³ per atom)
24.9, 15.0, 25.1, 22.1
Mass density (Mg/m³)
11.5, 10.3, 12.2, 11.6